Arrangement A

Crystalline Ac4Ni2Au at its relaxed geometry, computed with PBE.

Cell and atoms, written as POSCAR:
```
Ac4Ni2Au
1.0
-1.163 -4.097 0.269
5.666 0.302 -4.742
9.457 -1.951 11.175
Ni Ac Au
4 8 2
direct
0.131 0.263 0.438
0.869 0.737 0.938
0.131 0.263 0.062
0.869 0.737 0.562
0.768 0.535 0.385
0.768 0.535 0.115
0.232 0.465 0.885
0.949 0.898 0.750
0.051 0.102 0.250
0.232 0.465 0.615
0.500 0.000 0.000
0.500 0.000 0.500
0.619 0.239 0.750
0.381 0.761 0.250
```

Properties
Total magnetic moment in μB/cell: 0.00
Space group: Cmcm, No. 63
Density of states at the Fermi level in states/eV per cell: 12.73



Arrangement B

Crystalline Ac4Ni2Au at its relaxed geometry, computed with PBE.

Cell and atoms, written as POSCAR:
```
Ac4Ni2Au
1.0
-3.069 3.290 7.093
-1.242 -8.307 -0.086
8.239 1.574 -0.431
Ni Ac Au
4 8 2
direct
0.624 0.875 0.249
0.626 0.375 0.751
0.625 0.376 0.251
0.125 0.374 0.749
0.333 0.523 0.188
0.395 0.084 0.312
0.334 0.145 0.812
0.855 0.667 0.190
0.773 0.083 0.688
0.477 0.666 0.810
0.917 0.605 0.690
0.916 0.227 0.310
0.001 0.001 0.000
0.249 0.749 0.500
```

Properties
Total magnetic moment in μB/cell: 0.00
Space group: I2_12_12_1, No. 24
Density of states at the Fermi level in states/eV per cell: 15.72



Stability summary - winner: arrangement A; margin: 5.6 kJ/mol of atoms.



Arrangement A

Crystalline AcNiAu at its relaxed geometry, computed with PBE.

Cell and atoms, written as POSCAR:
```
AcNiAu
1.0
-1.839 3.245 2.916
-4.298 -0.664 1.872
-0.450 -0.949 4.617
Au Ac Ni
1 1 1
direct
0.500 0.500 0.500
0.000 0.000 0.000
0.250 0.250 0.250
```

Properties
Total magnetic moment in μB/cell: 0.00
Space group: F-43m, No. 216
Density of states at the Fermi level in states/eV per cell: 1.32



Arrangement B

Crystalline AcNiAu at its relaxed geometry, computed with PBE.

Cell and atoms, written as POSCAR:
```
AcNiAu
1.0
4.118 0.000 -1.095
-0.291 4.107 -1.095
0.077 0.083 8.581
Au Ni Ac
2 2 2
direct
0.661 0.161 0.322
0.839 0.339 0.678
0.072 0.072 0.143
0.928 0.928 0.857
0.500 0.500 0.000
0.250 0.750 0.500
```

Properties
Total magnetic moment in μB/cell: 0.00
Space group: I-4m2, No. 119
Density of states at the Fermi level in states/eV per cell: 3.15



Arrangement C

Crystalline AcNiAu at its relaxed geometry, computed with PBE.

Cell and atoms, written as POSCAR:
```
AcNiAu
1.0
4.187 0.000 0.000
0.000 4.476 0.000
0.000 -2.238 3.876
Ac Au Ni
1 1 1
direct
0.666 0.333 0.667
0.166 0.000 0.000
0.167 0.667 0.333
```

Properties
Total magnetic moment in μB/cell: 0.00
Space group: P-6m2, No. 187
Density of states at the Fermi level in states/eV per cell: 2.13



Stability summary - winner: arrangement B; margin: 0.8 kJ/mol of atoms.